Entry from the Alexandria database: an optimized crystal structure of Mn2CoGe (PBE).

Values from the calculation:
ΔH_f (0 K)   -0.1439 eV per atom

The structure in CIF format:
```
data_Mn2CoGe
_cell_length_a 5.7323
_cell_length_b 5.7323
_cell_length_c 5.7323
_cell_angle_alpha 90.00
_cell_angle_beta 90.00
_cell_angle_gamma 90.00
_symmetry_space_group_name_H-M 'F -4 3 m'
_symmetry_Int_Tables_number 216
_symmetry_space_group_name_Hall 'F -4 2 3'
loop_
_atom_site_label
_atom_site_type_symbol
_atom_site_fract_x
_atom_site_fract_y
_atom_site_fract_z
_atom_site_occupancy
Mn1 Mn 0.0000 0.0000 0.0000 1
Mn2 Mn 0.2500 0.2500 0.2500 1
Co1 Co 0.0000 0.0000 0.5000 1
Ge1 Ge 0.2500 0.2500 0.7500 1
```



Entry from the Alexandria database: an optimized crystal structure of Mn2Co3Ge (PBE).

Values from the calculation:
ΔH_f (0 K)   -0.0379 eV per atom

The structure in CIF format:
```
data_Mn2Co3Ge
_cell_length_a 4.7944
_cell_length_b 4.7944
_cell_length_c 7.5535
_cell_angle_alpha 90.00
_cell_angle_beta 90.00
_cell_angle_gamma 120.00
_symmetry_space_group_name_H-M 'P 63/m m c'
_symmetry_Int_Tables_number 194
_symmetry_space_group_name_Hall '-P 6c 2c'
loop_
_atom_site_label
_atom_site_type_symbol
_atom_site_fract_x
_atom_site_fract_y
_atom_site_fract_z
_atom_site_occupancy
Mn1 Mn 0.3333 0.6667 0.0650 1
Co1 Co 0.1736 0.3472 0.7500 1
Ge1 Ge 0.0000 0.0000 0.0000 1
```



Entry from the Alexandria database: an optimized crystal structure of MnCoGeMo (PBE).

Values from the calculation:
ΔH_f (0 K)   -0.0598 eV per atom

The structure in CIF format:
```
data_MnCoGeMo
_cell_length_a 5.9469
_cell_length_b 5.9469
_cell_length_c 5.9469
_cell_angle_alpha 90.00
_cell_angle_beta 90.00
_cell_angle_gamma 90.00
_symmetry_space_group_name_H-M 'F -4 3 m'
_symmetry_Int_Tables_number 216
_symmetry_space_group_name_Hall 'F -4 2 3'
loop_
_atom_site_label
_atom_site_type_symbol
_atom_site_fract_x
_atom_site_fract_y
_atom_site_fract_z
_atom_site_occupancy
Mn1 Mn 0.0000 0.0000 0.0000 1
Co1 Co 0.2500 0.2500 0.2500 1
Ge1 Ge 0.0000 0.0000 0.5000 1
Mo1 Mo 0.2500 0.2500 0.7500 1
```



Entry from the Alexandria database: an optimized crystal structure of MnCo2GeN (PBE).

Values from the calculation:
Formation energy without anion corrections   -6.63 kJ per mole of atoms

The structure in CIF format:
```
data_MnCo2GeN
_cell_length_a 3.7872
_cell_length_b 3.7872
_cell_length_c 3.8691
_cell_angle_alpha 90.00
_cell_angle_beta 90.00
_cell_angle_gamma 90.00
_symmetry_space_group_name_H-M 'P 4/m m m'
_symmetry_Int_Tables_number 123
_symmetry_space_group_name_Hall '-P 4 2'
loop_
_atom_site_label
_atom_site_type_symbol
_atom_site_fract_x
_atom_site_fract_y
_atom_site_fract_z
_atom_site_occupancy
Mn1 Mn 0.0000 0.0000 0.0000 1
Co1 Co 0.0000 0.5000 0.5000 1
Ge1 Ge 0.5000 0.5000 0.0000 1
N1 N 0.0000 0.0000 0.5000 1
```



no.,DFT total energy (eV per atom)
1,-7.659
2,-7.417
3,-7.991
4,-7.334